DFT (PBE with a Hubbard U) results for a relaxed ZnNi2O crystal.

Crystal system   tetragonal
Total magnetic moment   7.86 μB/cell
DOS at the Fermi energy   0.150 states/eV/atom
Energy   -0.1964 Ry per atom

The structure in POSCAR format:
```
ZnNi2O
1.0
4.7651 0.0000 0.0000
0.0000 4.7651 0.0000
0.0000 0.0000 10.8759
Zn Ni O
4 8 4
direct
0.0000 0.0000 0.0000
0.0000 0.5000 0.2500
0.5000 0.0000 0.7500
0.5000 0.5000 0.5000
0.1296 0.2500 0.6250
0.2500 0.6296 0.8750
0.2500 0.8704 0.3750
0.3704 0.2500 0.1250
0.6296 0.7500 0.1250
0.7500 0.1296 0.3750
0.7500 0.3704 0.8750
0.8704 0.7500 0.6250
0.0000 0.0000 0.5000
0.0000 0.5000 0.7500
0.5000 0.0000 0.2500
0.5000 0.5000 0.0000
```